Computed, not measured: crystalline Ba2LiGePd6 at its relaxed geometry at the PBE-GGA level of DFT.

Geometry as POSCAR:
```
Ba2LiGePd6
1.0
6.722 0.029 0.020
-0.035 6.762 0.017
3.315 3.374 4.794
Ba Li Ge Pd
2 1 1 6
Cartesian
6.695 2.891 2.054
3.307 7.275 2.777
0.000 0.000 0.000
3.343 3.396 0.019
3.322 4.035 2.450
4.718 5.444 0.483
1.937 5.427 0.467
8.065 4.738 4.364
5.284 4.721 4.348
6.681 6.130 2.381
```

space-group type = P-1
electronic total energy = -4.6111 eV/atom